Below is a relaxed structure of CsMgPC, with properties calculated at the PBE level.

Lattice parameters (Å, degrees): 8.868 3.879 6.201 90.00 98.84 90.00
Space group Cm (No. 8)
Symmetry-distinct sites (fractional):
Cs  0.000  0.000  0.000 x2
Mg  0.164  0.500  0.572 x2
P  0.365  0.000  0.454 x2
C  0.257  0.000  0.666 x2

Results
* VASP energy: -3.948 eV per atom
* formation enthalpy at 0 K: 0.32 eV/atom
* distance to the lowest polymorph of the same formula: 66 meV/atom

=====

Below is a relaxed structure of Mg3ScS4, with properties calculated at the PBE level.

Lattice parameters (Å, degrees): 7.469 10.518 3.659 90.00 90.00 90.00
Space group Cmmm (No. 65)
Symmetry-distinct sites (fractional):
Mg  0.000  0.000  0.000 x2
Mg  0.250  0.250  0.500 x4
Sc  0.000  0.500  0.000 x2
S  0.000  0.249  0.000 x4
S  0.246  0.000  0.500 x4

Results
* VASP energy: -4.920 eV per atom
* energy relative to the elements, uncorrected: -1.467 eV per atom
* distance to the lowest polymorph of the same formula: 0 meV/atom

=====

Below is a relaxed structure of CePa2GeN5, with properties calculated at the PBE level.

Lattice parameters (Å, degrees): 3.286 16.940 9.361 90.00 90.00 90.00
Space group Cmc2_1 (No. 36)
Symmetry-distinct sites (fractional):
Ce  0.000  0.224  0.000 x4
Pa  0.000  0.092  0.677 x4
Pa  0.000  0.108  0.306 x4
Ge  0.000  0.446  0.458 x4
N  0.000  0.037  0.056 x4
N  0.000  0.320  0.689 x4
N  0.000  0.349  0.353 x4
N  0.000  0.370  0.012 x4
N  0.000  0.495  0.787 x4

Results
* VASP energy: -8.897 eV per atom
* energy relative to the elements, uncorrected: -0.990 eV per atom

=====

Below is a relaxed structure of BaSr2Al4, with properties calculated at the PBE level.

Lattice parameters (Å, degrees): 4.553 5.055 19.996 90.00 90.00 90.00
Space group Immm (No. 71)
Symmetry-distinct sites (fractional):
Ba  0.000  0.000  0.000 x2
Sr  0.000  0.500  0.315 x4
Al  0.000  0.000  0.433 x4
Al  0.000  0.500  0.135 x4

Results
* VASP energy: -3.067 eV per atom
* formation enthalpy at 0 K: -0.17 eV/atom

=====

Below is a relaxed structure of Hf3FeI, with properties calculated at the PBE level.

Lattice parameters (Å, degrees): 4.866 4.866 4.866 90.00 90.00 90.00
Space group Pm-3m (No. 221)
Symmetry-distinct sites (fractional):
Hf  0.000  0.000  0.500 x3
Fe  0.000  0.000  0.000 x1
I  0.500  0.500  0.500 x1

Results
* VASP energy: -7.690 eV per atom
* energy relative to the elements, uncorrected: 0.284 eV per atom
* distance to the lowest polymorph of the same formula: 0 meV/atom

=====

Below is a relaxed structure of Rb3Zn2F9, with properties calculated at the PBE level.

Lattice parameters (Å, degrees): 10.5007 10.5007 15.0085 90.00 90.00 120.00
Space group R-3c (No. 167, hexagonal axes)
Symmetry-distinct sites (fractional):
Rb  0.0000  0.3424  0.2500 x18
Zn  0.0000  0.0000  0.1545 x12
F  0.0000  0.1430  0.7500 x18
F  0.0019  0.1629  0.4055 x36

Results
* VASP energy: -3.804 eV per atom
* energy relative to the elements, uncorrected: -2.211 eV per atom

=====

Below is a relaxed structure of TiVTe2N, with properties calculated at the PBE level.

Lattice parameters (Å, degrees): 5.501 5.501 3.702 90.00 90.00 90.00
Space group P4/mmm (No. 123)
Symmetry-distinct sites (fractional):
Ti  0.000  0.000  0.000 x1
V  0.500  0.500  0.500 x1
Te  0.000  0.500  0.000 x2
N  0.000  0.000  0.500 x1

Results
* VASP energy: -6.145 eV per atom
* energy relative to the elements, uncorrected: 0.179 eV per atom
* distance to the lowest polymorph of the same formula: 99 meV/atom

=====

Below is a relaxed structure of ZnRhSe4, with properties calculated at the PBE level.

Lattice parameters (Å, degrees): 7.902 7.902 7.902 90.00 90.00 90.00
Space group F-43m (No. 216)
Symmetry-distinct sites (fractional):
Zn  0.000  0.000  0.000 x4
Rh  0.250  0.250  0.750 x4
Se  0.125  0.125  0.375 x16

Results
* VASP energy: -2.970 eV per atom
* energy relative to the elements, uncorrected: 0.791 eV per atom

=====

Below is a relaxed structure of Tl2CdClF, with properties calculated at the PBE level.

Lattice parameters (Å, degrees): 5.064 5.064 6.008 90.00 90.00 90.00
Space group P4/mmm (No. 123)
Symmetry-distinct sites (fractional):
Tl  0.000  0.500  0.000 x2
Cd  0.000  0.000  0.500 x1
Cl  0.500  0.500  0.500 x1
F  0.500  0.500  0.000 x1

Results
* VASP energy: -2.572 eV per atom
* energy relative to the elements, uncorrected: -0.699 eV per atom

=====

Below is a relaxed structure of Tb2GdHg, with properties calculated at the PBE level.

Lattice parameters (Å, degrees): 4.844 4.844 4.788 90.00 90.00 90.00
Space group P4/mmm (No. 123)
Symmetry-distinct sites (fractional):
Tb  0.000  0.500  0.000 x2
Gd  0.000  0.000  0.500 x1
Hg  0.500  0.500  0.500 x1

Results
* VASP energy: -6.082 eV per atom
* formation enthalpy at 0 K: -0.17 eV/atom
* distance to the lowest polymorph of the same formula: 50 meV/atom

=====

The highest VASP energy belongs to which entry?
Tl2CdClF